Record 1
First-principles (GGA-PBE) data for Tb5Dy4Cd2 after structural relaxation, as listed in Alexandria via LeMat-Bulk.

Results
M_tot: 0.0 μB per cell
V: 357.51 Å³/cell
crystal system: orthorhombic
density of states at the Fermi level: 12.71 states/eV/cell
space-group type: No. 71
formation enthalpy at 0 K: 173 kJ/mol of formula units
energy: -41.6 eV/f.u.

Unit cell a=11.4299 b=11.4299 c=11.4299 alpha=162.31 beta=127.79 gamma=55.56
Closest atoms and distances in Å follow each position.
Positions (direct):
Tb (0.0000, 0.0000, 0.0000)  4 Dy 3.32, 2 Tb 3.51
Tb (0.0707, 0.3320, 0.7387)  3 Cd 3.10-3.44, 1 Dy 3.42
Tb (0.4067, 0.6680, 0.7387)  3 Cd 3.10-3.44, 1 Dy 3.42
Tb (0.5933, 0.3320, 0.2613)  3 Cd 3.10-3.44, 1 Dy 3.42
Tb (0.9293, 0.6680, 0.2613)  3 Cd 3.10-3.44, 1 Dy 3.42
Dy (0.2803, 0.5000, 0.7803)  4 Tb 3.32-3.42, 6 Dy 3.33-3.51
Dy (0.4129, 0.9129, 0.5000)  1 Cd 3.00, 4 Dy 3.33
Dy (0.5871, 0.0871, 0.5000)  1 Cd 3.00, 4 Dy 3.33
Dy (0.7197, 0.5000, 0.2197)  4 Tb 3.32-3.42, 6 Dy 3.33-3.51
Cd (0.2646, 0.7646, 0.5000)  1 Dy 3.00, 2 Tb 3.10
Cd (0.7354, 0.2354, 0.5000)  1 Dy 3.00, 2 Tb 3.10

---

Record 2
First-principles (GGA-PBE) data for Tb3Dy4Cd after structural relaxation, as listed in Alexandria via LeMat-Bulk.

Results
M_tot: 0.0 μB per cell
V: 484.00 Å³/cell
crystal system: orthorhombic
density of states at the Fermi level: 19.43 states/eV/cell
energy above the most stable polymorph in this dataset: 20 meV per atom
space-group type: No. 31
formation enthalpy at 0 K: -35 kJ/mol of formula units
energy: -33.6 eV/f.u.

Unit cell a=11.1796 b=7.0102 c=6.1757 alpha=90.00 beta=90.00 gamma=90.00
Closest atoms and distances in Å follow each position.
Positions (direct):
Tb (0.0000, 0.1279, 0.0000)  6 Dy 3.37-3.75, 4 Tb 3.42-3.53, 2 Cd 3.43-3.68
Tb (0.2382, 0.1190, 0.3479)  2 Cd 3.34-3.55, 4 Tb 3.42-3.53, 6 Dy 3.43-3.63
Tb (0.2618, 0.8810, 0.8479)  2 Cd 3.34-3.55, 4 Tb 3.42-3.53, 6 Dy 3.43-3.63
Tb (0.5000, 0.8721, 0.5000)  6 Dy 3.37-3.75, 4 Tb 3.42-3.53, 2 Cd 3.43-3.68
Tb (0.7382, 0.8810, 0.8479)  2 Cd 3.34-3.55, 4 Tb 3.42-3.53, 6 Dy 3.43-3.63
Tb (0.7618, 0.1190, 0.3479)  2 Cd 3.34-3.55, 4 Tb 3.42-3.53, 6 Dy 3.43-3.63
Dy (0.0000, 0.3802, 0.5354)  4 Tb 3.37-3.75, 6 Dy 3.38-3.70, 2 Cd 3.48-3.53
Dy (0.0000, 0.6297, 0.0070)  6 Dy 3.40-3.70, 2 Cd 3.45-3.63, 4 Tb 3.49-3.56
Dy (0.2400, 0.6274, 0.3589)  1 Cd 3.36, 6 Dy 3.38-3.57, 5 Tb 3.45-3.63
Dy (0.2600, 0.3726, 0.8589)  1 Cd 3.36, 6 Dy 3.38-3.57, 5 Tb 3.45-3.63
Dy (0.5000, 0.3703, 0.5070)  6 Dy 3.40-3.70, 2 Cd 3.45-3.63, 4 Tb 3.49-3.56
Dy (0.5000, 0.6198, 0.0354)  4 Tb 3.37-3.75, 6 Dy 3.38-3.70, 2 Cd 3.48-3.53
Dy (0.7400, 0.3726, 0.8589)  1 Cd 3.36, 6 Dy 3.38-3.57, 5 Tb 3.45-3.63
Dy (0.7600, 0.6274, 0.3589)  1 Cd 3.36, 6 Dy 3.38-3.57, 5 Tb 3.45-3.63
Cd (0.0000, 0.8764, 0.5232)  6 Tb 3.34-3.68, 6 Dy 3.36-3.63
Cd (0.5000, 0.1236, 0.0232)  6 Tb 3.34-3.68, 6 Dy 3.36-3.63

---

Record 3
First-principles (GGA-PBE) data for Tb3Dy4Cd after structural relaxation, as listed in Alexandria via LeMat-Bulk.

Results
M_tot: 0.0 μB per cell
V: 242.92 Å³/cell
crystal system: tetragonal
density of states at the Fermi level: 10.38 states/eV/cell
energy above the most stable polymorph in this dataset: 0 meV per atom
space-group type: No. 123
formation enthalpy at 0 K: -50 kJ/mol of formula units
energy: -33.7 eV/f.u.

Unit cell a=3.5590 b=3.5590 c=19.1780 alpha=90.00 beta=90.00 gamma=90.00
Closest atoms and distances in Å follow each position.
Positions (direct):
Tb (0.0000, 0.0000, 0.0000)  8 Dy 3.55, 4 Tb 3.56
Tb (0.0000, 0.0000, 0.2616)  8 Dy 3.54-3.55, 4 Tb 3.56
Tb (0.0000, 0.0000, 0.7384)  8 Dy 3.54-3.55, 4 Tb 3.56
Dy (0.5000, 0.5000, 0.1308)  8 Tb 3.55, 4 Dy 3.56
Dy (0.5000, 0.5000, 0.3914)  4 Cd 3.27, 4 Tb 3.54, 4 Dy 3.56
Dy (0.5000, 0.5000, 0.6086)  4 Cd 3.27, 4 Tb 3.54, 4 Dy 3.56
Dy (0.5000, 0.5000, 0.8692)  8 Tb 3.55, 4 Dy 3.56
Cd (0.0000, 0.0000, 0.5000)  8 Dy 3.27, 4 Cd 3.56